# 1
TaCo2As | SCAN | PBEsol geometry

Results
The calculation puts the energy of formation from the pure elements at 0.072 eV/atom. As for the theoretical density: 11.79 Mg/m³. The calculation puts the volume at 52.6 Å³/f.u.

a b c (Å): 3.1785 3.1785 5.2092
angles (deg): 90.00 90.00 90.00
Closest atoms and distances in Å follow each position.
Fractional coordinates of all 4 atoms:
Co (0.0000, 0.0000, 0.9778)  4 As 2.42, 2 Ta 2.55-2.66, 4 Co 2.66
Co (0.5000, 0.5000, 0.2515)  1 As 2.33, 4 Ta 2.51
Ta (0.0000, 0.0000, 0.4668)  6 Co 2.51-2.66
As (0.5000, 0.5000, 0.8039)  5 Co 2.33-2.42



# 2
TaCoAs2 | SCAN | PBEsol geometry

Results
The calculation puts the energy of formation from the pure elements at -0.136 eV/atom. As for the theoretical density: 9.97 Mg/m³. The calculation puts the volume at 64.9 Å³/f.u.

a b c (Å): 2.8398 2.8398 8.0519
angles (deg): 90.00 90.00 90.00
Closest atoms and distances in Å follow each position.
Fractional coordinates of all 4 atoms:
Ta (0.5000, 0.5000, 0.7156)  4 Co 2.68, 4 As 2.82, 4 Ta 2.84
As (0.5000, 0.5000, 0.3270)  4 Co 2.42
As (0.0000, 0.0000, 0.9620)  4 Ta 2.82, 4 As 2.84
Co (0.0000, 0.0000, 0.4954)  4 As 2.42, 4 Ta 2.68



# 3
TaCo4As | SCAN | PBEsol geometry

Results
The calculation puts the energy of formation from the pure elements at 0.132 eV/atom. As for the theoretical density: 11.45 Mg/m³. The calculation puts the volume at 71.3 Å³/f.u.

a b c (Å): 4.6542 4.6542 4.6542
angles (deg): 60.00 60.00 60.00
Closest atoms and distances in Å follow each position.
Fractional coordinates of all 6 atoms:
Co (0.3751, 0.8747, 0.3751)  6 Co 2.33
Co (0.8747, 0.3751, 0.3751)  6 Co 2.33
Co (0.3751, 0.3751, 0.3751)  6 Co 2.33
Co (0.3751, 0.3751, 0.8747)  6 Co 2.33
Ta (0.7500, 0.7500, 0.7500)  12 Co 2.73, 4 As 2.85
As (0.0000, 0.0000, 0.0000)  12 Co 2.73, 4 Ta 2.85



# 4
TaCo2As | SCAN | PBEsol geometry

Results
The calculation puts the energy of formation from the pure elements at 0.180 eV/atom. As for the theoretical density: 11.74 Mg/m³. The calculation puts the volume at 52.9 Å³/f.u.

a b c (Å): 2.7525 4.6052 4.9252
angles (deg): 116.69 104.40 93.78
Closest atoms and distances in Å follow each position.
Fractional coordinates of all 4 atoms:
Co (0.0000, 0.0000, 0.5000)  2 As 2.50, 2 Ta 2.50, 6 Co 2.60-2.76
Co (0.5000, 0.5000, 0.5000)  2 Ta 2.50, 2 As 2.50, 6 Co 2.60-2.76
As (0.0000, 0.5000, 0.0000)  4 Co 2.50, 4 Ta 2.60-2.76, 2 As 2.75
Ta (0.5000, 0.0000, 0.0000)  4 Co 2.50, 4 As 2.60-2.76, 2 Ta 2.75



# 5
CoTc2As | SCAN | PBEsol geometry

Results
The calculation puts the energy of formation from the pure elements at 0.155 eV/atom. As for the theoretical density: 10.30 Mg/m³. The calculation puts the volume at 53.2 Å³/f.u.

a b c (Å): 2.7542 2.7542 8.2464
angles (deg): 80.39 80.39 60.00
Closest atoms and distances in Å follow each position.
Fractional coordinates of all 4 atoms:
Co (0.2462, 0.2462, 0.2614)  3 As 2.40, 3 Tc 2.61
As (0.5053, 0.5053, 0.4842)  3 Co 2.40, 3 Tc 2.67
Tc (0.9981, 0.9981, 0.0057)  3 Co 2.61, 9 Tc 2.62-2.75
Tc (0.7504, 0.7504, 0.7487)  9 Tc 2.62-2.75, 3 As 2.67



# 6
CoTcAs | SCAN | PBEsol geometry

Results
The calculation puts the energy of formation from the pure elements at 0.150 eV/atom. As for the theoretical density: 9.04 Mg/m³. The calculation puts the volume at 42.6 Å³/f.u.

a b c (Å): 3.9206 3.9206 3.9206
angles (deg): 60.00 60.00 60.00
Closest atoms and distances in Å follow each position.
Fractional coordinates of all 3 atoms:
Tc (0.0000, 0.0000, 0.0000)  4 Co 2.40
As (0.5000, 0.5000, 0.5000)  4 Co 2.40
Co (0.2500, 0.2500, 0.2500)  4 As 2.40, 4 Tc 2.40



# 7
Co2TeAs | SCAN | PBEsol geometry

Results
The uncorrected formation energy comes out at 130 meV per atom. As for the theoretical density: 8.62 Mg/m³. The calculation puts the volume at 61.7 Å³/f.u.

a b c (Å): 3.6425 3.6425 5.7709
angles (deg): 71.60 71.60 60.00
Closest atoms and distances in Å follow each position.
Fractional coordinates of all 4 atoms:
Co (0.2787, 0.2787, 0.1640)  3 As 2.28
Co (0.7213, 0.7213, 0.8360)  3 As 2.28
Te (0.5000, 0.5000, 0.5000)  6 Co 2.77
As (0.0000, 0.0000, 0.0000)  6 Co 2.28



# 8
Co2TeAs | SCAN | PBEsol geometry

Results
The uncorrected formation energy comes out at 393 meV per atom. As for the theoretical density: 9.19 Mg/m³. The calculation puts the volume at 57.9 Å³/f.u.

a b c (Å): 4.2905 4.3704 4.2905
angles (deg): 119.40 90.00 119.40
Closest atoms and distances in Å follow each position.
Fractional coordinates of all 4 atoms:
Co (0.7500, 0.5000, 0.2500)  4 As 2.66, 4 Te 2.66
Co (0.2500, 0.5000, 0.7500)  4 As 2.66, 4 Te 2.66
Te (0.5000, 0.0000, 0.5000)  8 Co 2.66
As (0.0000, 0.0000, 0.0000)  8 Co 2.66